Record 1
# GGA-PBE BaTb2Os, relaxed
data_BaTb2Os
_symmetry_space_group_name_H-M 'P 1'
_symmetry_Int_Tables_number 1
_cell_length_a 3.496
_cell_length_b 3.496
_cell_length_c 10.225
_cell_angle_alpha 90.00
_cell_angle_beta 90.00
_cell_angle_gamma 90.00
loop_
_symmetry_equiv_pos_as_xyz
'x,y,z'
loop_
_atom_site_label
_atom_site_type_symbol
_atom_site_fract_x
_atom_site_fract_y
_atom_site_fract_z
_atom_site_occupancy
Tb1 Tb 0.000 0.000 0.841 1
Tb2 Tb 0.000 0.000 0.159 1
Os1 Os 0.500 0.500 0.000 1
Ba1 Ba 0.500 0.500 0.500 1
# Energy of formation from the pure elements ... -0.043 eV/atom
# Offset from the most stable computed form ... 0 kJ/mol of formula units
# Density of states at the Fermi level ... 2.48 states/eV per cell

***

Record 2
# GGA-PBE Nd2ThHg, relaxed
data_Nd2ThHg
_symmetry_space_group_name_H-M 'P 1'
_symmetry_Int_Tables_number 1
_cell_length_a 3.497
_cell_length_b 3.497
_cell_length_c 12.241
_cell_angle_alpha 81.79
_cell_angle_beta 81.79
_cell_angle_gamma 60.00
loop_
_symmetry_equiv_pos_as_xyz
'x,y,z'
loop_
_atom_site_label
_atom_site_type_symbol
_atom_site_fract_x
_atom_site_fract_y
_atom_site_fract_z
_atom_site_occupancy
Nd1 Nd 0.095 0.095 0.714 1
Nd2 Nd 0.905 0.905 0.286 1
Hg1 Hg 0.500 0.500 0.500 1
Th1 Th 0.000 0.000 0.000 1
# Energy of formation from the pure elements ... 0.089 eV/atom
# Offset from the most stable computed form ... 126 kJ/mol of formula units
# Density of states at the Fermi level ... 5.51 states/eV per cell

***

Record 3
# GGA-PBE CsCu2Te2, relaxed
data_CsCu2Te2
_symmetry_space_group_name_H-M 'P 1'
_symmetry_Int_Tables_number 1
_cell_length_a 7.374
_cell_length_b 7.374
_cell_length_c 7.224
_cell_angle_alpha 106.24
_cell_angle_beta 106.24
_cell_angle_gamma 116.95
loop_
_symmetry_equiv_pos_as_xyz
'x,y,z'
loop_
_atom_site_label
_atom_site_type_symbol
_atom_site_fract_x
_atom_site_fract_y
_atom_site_fract_z
_atom_site_occupancy
Cs1 Cs 0.875 0.625 0.750 1
Cs2 Cs 0.125 0.375 0.250 1
Cu1 Cu 0.260 0.010 0.520 1
Cu2 Cu 0.510 0.760 0.020 1
Cu3 Cu 0.740 0.990 0.480 1
Cu4 Cu 0.490 0.240 0.980 1
Te1 Te 0.200 0.300 0.750 1
Te2 Te 0.450 0.050 0.250 1
Te3 Te 0.550 0.950 0.750 1
Te4 Te 0.800 0.700 0.250 1
# Density of states at the Fermi level ... 5.36 states/eV per cell

***

Record 4
# GGA-PBE RbGa2H6, relaxed
data_RbGa2H6
_symmetry_space_group_name_H-M 'P 1'
_symmetry_Int_Tables_number 1
_cell_length_a 5.564
_cell_length_b 7.454
_cell_length_c 7.454
_cell_angle_alpha 80.46
_cell_angle_beta 71.29
_cell_angle_gamma 71.29
loop_
_symmetry_equiv_pos_as_xyz
'x,y,z'
loop_
_atom_site_label
_atom_site_type_symbol
_atom_site_fract_x
_atom_site_fract_y
_atom_site_fract_z
_atom_site_occupancy
Rb1 Rb 0.250 0.217 0.783 1
Rb2 Rb 0.750 0.783 0.217 1
Ga1 Ga 0.423 0.702 0.775 1
Ga2 Ga 0.077 0.225 0.298 1
Ga3 Ga 0.577 0.298 0.225 1
Ga4 Ga 0.923 0.775 0.702 1
H1 H 0.421 0.858 0.603 1
H2 H 0.079 0.397 0.142 1
H3 H 0.579 0.142 0.397 1
H4 H 0.921 0.603 0.858 1
H5 H 0.036 0.735 0.488 1
H6 H 0.464 0.512 0.265 1
H7 H 0.964 0.265 0.512 1
H8 H 0.536 0.488 0.735 1
H9 H 0.305 0.779 0.978 1
H10 H 0.195 0.022 0.221 1
H11 H 0.695 0.221 0.022 1
H12 H 0.805 0.978 0.779 1
# Offset from the most stable computed form ... 0 kJ/mol of formula units
# Density of states at the Fermi level ... 3.95 states/eV per cell

***

no.,theoretical density (g/cm³),magnetization (Bohr magnetons per cell),total energy (eV/atom)
1,8.57,0.0,-5.65
2,9.36,0.0,-4.22
3,5.78,0.0,-3.45
4,2.77,0.0,-3.00